Run a
KCrAu3 after structural relaxation. Source: Alexandria, functional PBE-GGA.

The structure in POSCAR format:
```
KCrAu3
1.0
4.9821 0.0000 0.0000
0.0000 4.9821 0.0000
0.0000 0.0000 4.9821
Cr K Au
1 1 3
direct
0.0000 0.0000 0.0000
0.5000 0.5000 0.5000
0.0000 0.0000 0.5000
0.5000 0.0000 0.0000
0.0000 0.5000 0.0000
```

Computed properties:
As for the space group: No. 221. Its calculated density is 9.16 Mg/m³. Its magnetic moment is 0.000 μB per atom.

***

Run b
KCrAu3 after structural relaxation. Source: Alexandria, functional PBE-GGA.

The structure in POSCAR format:
```
KCrAu3
1.0
-3.9614 3.1777 2.1681
-2.3778 -4.4691 2.2057
3.0240 0.6487 4.5745
Au Cr K
3 1 1
direct
0.0000 0.5000 0.0000
0.0000 0.0000 0.5000
0.5000 0.0000 0.0000
0.5000 0.5000 0.5000
0.0000 0.0000 0.0000
```

Computed properties:
As for the space group: No. 221. Its calculated density is 6.73 Mg/m³. Its magnetic moment is 0.814 μB per atom.

***

Tell me which of them is the least stable. Sure, it is run b.

***

Run a
LaCrAu after structural relaxation. Source: Alexandria, functional PBE-GGA.

The structure in POSCAR format:
```
LaCrAu
1.0
4.8925 0.0000 0.0000
2.4463 4.2370 0.0000
2.4463 1.4123 3.9947
Au Cr La
1 1 1
direct
0.7500 0.7500 0.7500
0.0000 0.0000 0.0000
0.5000 0.5000 0.5000
```

Computed properties:
As for the space group: No. 216. Its calculated density is 7.78 Mg/m³. Its magnetic moment is 1.375 μB per atom.

***

Run b
LaCrAu after structural relaxation. Source: Alexandria, functional PBE-GGA.

The structure in POSCAR format:
```
LaCrAu
1.0
-4.2441 -2.6431 2.8698
0.5149 -2.6436 5.0971
1.2925 4.8952 -2.7570
Cr La Au
1 1 1
direct
0.3587 0.3587 0.0000
0.6644 0.6644 0.0000
0.9769 0.9769 0.0000
```

Computed properties:
As for the space group: No. 107. Its calculated density is 9.09 Mg/m³. Its magnetic moment is 1.443 μB per atom.

***

Run c
LaCrAu after structural relaxation. Source: Alexandria, functional PBE-GGA.

The structure in POSCAR format:
```
LaCrAu
1.0
4.9758 0.0000 0.0000
2.4879 4.3092 0.0000
2.4879 1.4364 4.0628
Au La Cr
1 1 1
direct
0.0000 0.0000 0.0000
0.7500 0.7500 0.7500
0.5000 0.5000 0.5000
```

Computed properties:
As for the space group: No. 216. Its calculated density is 7.39 Mg/m³. Its magnetic moment is 1.473 μB per atom.

***

Tell me which of them is the least stable. Sure, it is run c.

***

Run a
La2CrAu after structural relaxation. Source: Alexandria, functional PBE-GGA.

The structure in POSCAR format:
```
La2CrAu
1.0
8.2657 0.0000 0.0000
0.0000 8.2657 0.0000
4.1329 4.1329 3.1721
La Au Cr
4 2 2
direct
0.8750 0.8731 0.7500
0.6231 0.1250 0.2500
0.1269 0.6250 0.2500
0.3750 0.3769 0.7500
0.7500 0.2500 0.5000
0.0000 0.0000 0.0000
0.5000 0.5000 0.0000
0.2500 0.7500 0.5000
```

Computed properties:
As for the space group: No. 122. Its calculated density is 8.07 Mg/m³. Its magnetic moment is 0.714 μB per atom.

***

Run b
La2CrAu after structural relaxation. Source: Alexandria, functional PBE-GGA.

The structure in POSCAR format:
```
La2CrAu
1.0
0.0000 3.6742 3.6742
3.6742 0.0000 3.6742
3.6742 3.6742 0.0000
Au La Cr
1 2 1
direct
0.5000 0.5000 0.5000
0.2500 0.2500 0.2500
0.7500 0.7500 0.7500
0.0000 0.0000 0.0000
```

Computed properties:
As for the space group: No. 225. Its calculated density is 8.82 Mg/m³. Its magnetic moment is 0.000 μB per atom.

***

Run c
La2CrAu after structural relaxation. Source: Alexandria, functional PBE-GGA.

The structure in POSCAR format:
```
La2CrAu
1.0
-2.9344 3.8194 1.8052
-4.6447 -1.0292 1.9555
-0.8168 0.4450 5.0588
La Cr Au
2 1 1
direct
0.2500 0.2500 0.2500
0.0000 0.0000 0.0000
0.7500 0.7500 0.7500
0.5000 0.5000 0.5000
```

Computed properties:
As for the space group: No. 216. Its calculated density is 9.09 Mg/m³. Its magnetic moment is 1.175 μB per atom.

***

Run d
La2CrAu after structural relaxation. Source: Alexandria, functional PBE-GGA.

The structure in POSCAR format:
```
La2CrAu
1.0
-3.4763 0.1207 1.4497
1.2609 -1.6233 3.1585
1.4518 6.8003 2.9154
La Cr Au
2 1 1
direct
0.5000 0.5000 0.3001
0.0000 0.0000 0.9559
0.5000 0.5000 0.7105
0.0000 0.0000 0.5334
```

Computed properties:
As for the space group: No. 99. Its calculated density is 8.17 Mg/m³. Its magnetic moment is 0.910 μB per atom.

***

Tell me which of them is the least stable. Sure, it is run a.

***

Run a
La2CrAu after structural relaxation. Source: Alexandria, functional PBE-GGA.

The structure in POSCAR format:
```
La2CrAu
1.0
4.8495 0.0000 0.0000
0.0000 3.9664 -0.0048
0.0000 1.9717 5.7003
Au Cr La
1 1 2
direct
0.0000 0.6955 0.4826
0.5000 0.5527 0.7712
0.0000 0.9823 0.9129
0.5000 0.2695 0.3332
```

Computed properties:
As for the space group: No. 6. Its calculated density is 7.97 Mg/m³. Its magnetic moment is 0.885 μB per atom.

***

Run b
La2CrAu after structural relaxation. Source: Alexandria, functional PBE-GGA.

The structure in POSCAR format:
```
La2CrAu
1.0
3.8106 0.0000 0.0000
0.0000 3.8055 0.1641
0.0000 3.4903 7.5372
La Cr Au
2 1 1
direct
0.0000 0.0006 0.9993
0.0000 0.4994 0.5007
0.5000 0.7500 0.7500
0.5000 0.2500 0.2500
```

Computed properties:
As for the space group: No. 123. Its calculated density is 8.17 Mg/m³. Its magnetic moment is 0.854 μB per atom.

***

Tell me which of them is the least stable. Sure, it is run b.

***

Run a
La2CrAu after structural relaxation. Source: Alexandria, functional PBE-GGA.

The structure in POSCAR format:
```
La2CrAu
1.0
-0.4415 6.1654 -1.5220
-0.9763 4.1707 -4.7092
-4.7194 1.6333 -0.2302
Cr Au La
1 1 2
direct
0.7877 0.7877 0.7124
0.4657 0.4657 0.5342
0.2296 0.2296 0.2705
0.0170 0.0170 0.9829
```

Computed properties:
As for the space group: No. 44. Its calculated density is 8.32 Mg/m³. Its magnetic moment is 0.911 μB per atom.

***

Run b
La2CrAu after structural relaxation. Source: Alexandria, functional PBE-GGA.

The structure in POSCAR format:
```
La2CrAu
1.0
-2.5728 -3.2526 0.6099
0.2024 -3.7743 -1.8123
4.2280 -4.2598 5.7618
La Au Cr
2 1 1
direct
0.9967 0.9967 0.9932
0.5033 0.5033 0.5068
0.2500 0.2500 0.2500
0.7500 0.7500 0.7500
```

Computed properties:
As for the space group: No. 12. Its calculated density is 7.69 Mg/m³. Its magnetic moment is 0.802 μB per atom.

***

Tell me which of them is the least stable. Sure, it is run b.

***

Run a
LaCr3Au after structural relaxation. Source: Alexandria, functional PBE-GGA.

The structure in POSCAR format:
```
LaCr3Au
1.0
-3.0076 -0.6036 3.9754
1.1799 -4.8784 0.1520
3.8440 1.0251 3.0638
Cr Au La
3 1 1
direct
0.0000 0.5000 0.0000
0.5000 0.0000 0.0000
0.0000 0.0000 0.5000
0.0000 0.0000 0.0000
0.5000 0.5000 0.5000
```

Computed properties:
As for the space group: No. 221. Its calculated density is 6.45 Mg/m³. Its magnetic moment is 2.431 μB per atom.

***

Run b
LaCr3Au after structural relaxation. Source: Alexandria, functional PBE-GGA.

The structure in POSCAR format:
```
LaCr3Au
1.0
4.4577 0.0000 0.0000
0.0000 4.4577 0.0000
0.0000 0.0000 4.4577
Cr Au La
3 1 1
direct
0.0000 0.5000 0.0000
0.0000 0.0000 0.5000
0.5000 0.0000 0.0000
0.5000 0.5000 0.5000
0.0000 0.0000 0.0000
```

Computed properties:
As for the space group: No. 221. Its calculated density is 9.22 Mg/m³. Its magnetic moment is 0.000 μB per atom.

***

Tell me which of them is the least stable. Sure, it is run b.